1.
Density functional theory data (PBE) for crystalline YBrN3 at its relaxed geometry.

The structure in extended XYZ format:
```
5
Lattice="4.4783 0.0000 0.0000 0.0000 4.4783 0.0000 0.0000 0.0000 4.4783" Properties=species:S:1:pos:R:3 pbc="T T T"
Y 0.0000 0.0000 0.0000
Br 2.2391 2.2391 2.2391
N 0.0000 0.0000 2.2391
N 0.0000 2.2391 0.0000
N 2.2391 0.0000 0.0000
```

Space group: Pm-3m, No. 221
Formation energy without anion corrections (meV/atom): 1835

***

2.
Density functional theory data (PBE) for crystalline Ce2NpAs2N2 at its relaxed geometry.

The structure in extended XYZ format:
```
7
Lattice="5.9173 -1.9800 0.0000 5.9173 1.9800 0.0000 -3.5672 0.0000 6.0273" Properties=species:S:1:pos:R:3 pbc="T T T"
Ce 1.4126 0.0000 1.4031
Ce 6.8547 0.0000 4.6241
Np -1.7836 0.0000 3.0136
As 4.5866 0.0000 0.9938
As 3.6807 0.0000 5.0335
N 0.1719 0.0000 3.5110
N 8.0954 0.0000 2.5162
```

Space group: C2/m, No. 12
Formation energy without anion corrections (meV/atom): -1298

***

3.
Density functional theory data (PBE) for crystalline CsLa2C2N6 at its relaxed geometry.

The structure in extended XYZ format:
```
11
Lattice="5.3283 -3.2279 0.0000 5.3283 3.2279 0.0000 -2.3687 0.0000 5.9706" Properties=species:S:1:pos:R:3 pbc="T T T"
Cs 0.0000 0.0000 0.0000
La 1.8539 0.0000 4.2124
La 6.4340 0.0000 1.7582
C 3.0022 0.0000 1.4968
C 5.2856 0.0000 4.4738
N 2.3673 1.1273 1.8667
N 4.1701 0.0000 0.8376
N 2.3673 -1.1273 1.8667
N 5.9205 1.1273 4.1039
N 4.1178 0.0000 5.1330
N 5.9205 -1.1273 4.1039
```

Space group: C2/m, No. 12
Formation energy without anion corrections (meV/atom): -371

***

4.
Density functional theory data (PBE) for crystalline Y2PtBr at its relaxed geometry.

The structure in extended XYZ format:
```
4
Lattice="4.4736 0.0000 0.0000 0.0000 1.8623 5.7616 0.0000 -1.8623 5.7616" Properties=species:S:1:pos:R:3 pbc="T T T"
Y 0.0000 0.0000 0.0000
Y 2.2368 0.0000 2.9231
Pt 0.0000 0.0000 8.5364
Br 2.2368 0.0000 5.8436
```

Space group: Amm2, No. 38
Energy relative to the lowest polymorph listed for this composition (meV per atom): 286
Formation energy without anion corrections (meV/atom): -959

***

5.
Density functional theory data (PBE) for crystalline K2MnTl at its relaxed geometry.

The structure in extended XYZ format:
```
8
Lattice="-2.3868 2.3868 12.6231 2.3868 -2.3868 12.6231 2.3868 2.3868 -12.6231" Properties=species:S:1:pos:R:3 pbc="T T T"
K 3.5802 1.1914 -3.1558
K 1.1914 1.1934 3.1558
K -1.1934 1.1953 9.4673
K 1.1953 1.1934 15.7789
Mn 0.0000 0.0000 0.0000
Mn 0.0000 2.3868 6.3115
Tl 2.3868 0.0000 6.3115
Tl 0.0000 0.0000 12.6231
```

Space group: I-42d, No. 122
Energy relative to the lowest polymorph listed for this composition (meV per atom): 323
Formation energy (eV per atom): 0.664

***

6.
Density functional theory data (PBE) for crystalline BaTaI2O at its relaxed geometry.

The structure in extended XYZ format:
```
5
Lattice="6.6397 0.0000 0.0000 0.0000 6.6397 0.0000 0.0000 0.0000 4.4202" Properties=species:S:1:pos:R:3 pbc="T T T"
Ba 0.0000 0.0000 0.0000
Ta 3.3199 3.3199 2.2101
I 0.0000 3.3199 0.0000
I 3.3199 0.0000 0.0000
O 0.0000 0.0000 2.2101
```

Space group: P4/mmm, No. 123
Energy relative to the lowest polymorph listed for this composition (meV per atom): 1445
Formation energy without anion corrections (meV/atom): 404

***

7.
Density functional theory data (PBE) for crystalline LaTc3Ge2 at its relaxed geometry.

The structure in extended XYZ format:
```
12
Lattice="7.8464 -2.0915 0.0000 7.8464 2.0915 0.0000 -3.5163 0.0000 6.8820" Properties=species:S:1:pos:R:3 pbc="T T T"
La 2.0202 0.0000 0.3970
La 10.1563 0.0000 6.4850
Tc -0.6700 0.0000 2.7854
Tc 2.8405 0.0000 3.5953
Tc 5.2607 0.0000 2.4723
Tc 6.9158 0.0000 4.4097
Tc 9.3360 0.0000 3.2868
Tc 12.8465 0.0000 4.0967
Ge 0.5959 0.0000 4.9460
Ge 4.6217 0.0000 5.5749
Ge 7.5548 0.0000 1.3072
Ge 11.5806 0.0000 1.9360
```

Space group: C2/m, No. 12
Formation energy (eV per atom): -0.397

***

8.
Density functional theory data (PBE) for crystalline Sr6Sn2N at its relaxed geometry.

The structure in extended XYZ format:
```
9
Lattice="6.4688 -3.7348 0.0000 6.4688 3.7348 0.0000 -0.0078 0.0000 6.1286" Properties=species:S:1:pos:R:3 pbc="T T T"
Sr 2.1448 0.0000 4.4884
Sr 5.3890 1.8737 4.4827
Sr 7.5406 1.8737 1.6459
Sr 5.3890 -1.8737 4.4827
Sr 7.5406 -1.8737 1.6459
Sr 10.7849 0.0000 1.6402
Sn 4.3093 0.0000 1.5398
Sn 8.6204 0.0000 4.5888
N -0.0039 0.0000 3.0643
```

Space group: C2/m, No. 12
Energy relative to the lowest polymorph listed for this composition (meV per atom): 30
Formation energy without anion corrections (meV/atom): -594

***

9.
Density functional theory data (PBE) for crystalline CaLuPb at its relaxed geometry.

The structure in extended XYZ format:
```
3
Lattice="0.0000 3.6808 3.6808 3.6808 0.0000 3.6808 3.6808 3.6808 0.0000" Properties=species:S:1:pos:R:3 pbc="T T T"
Ca 0.0000 0.0000 0.0000
Lu 3.6808 3.6808 3.6808
Pb 5.5212 5.5212 5.5212
```

Space group: F-43m, No. 216
Formation energy (eV per atom): -0.241

***

10.
Density functional theory data (PBE) for crystalline CoTcOs2 at its relaxed geometry.

The structure in extended XYZ format:
```
4
Lattice="2.6880 0.0000 0.0000 0.0000 3.7750 0.0000 0.0000 0.0000 5.3283" Properties=species:S:1:pos:R:3 pbc="T T T"
Co 0.0000 0.0000 0.0000
Tc 1.3440 1.8875 4.0614
Os 0.0000 0.0000 2.6391
Os 1.3440 1.8875 1.2587
```

Space group: Pmm2, No. 25
Energy relative to the lowest polymorph listed for this composition (meV per atom): 8
Formation energy (eV per atom): 0.109

***

11.
Density functional theory data (PBE) for crystalline CdIn2Rh at its relaxed geometry.

The structure in extended XYZ format:
```
8
Lattice="-4.2831 4.2831 2.7283 4.2831 -4.2831 2.7283 4.2831 4.2831 -2.7283" Properties=species:S:1:pos:R:3 pbc="T T T"
Cd 0.0000 0.0000 0.0000
Cd 0.0000 4.2831 1.3642
In 2.1415 -1.3706 2.0462
In 2.9125 2.1415 0.6821
In 2.1415 5.6537 -0.6821
In 1.3706 2.1415 3.4104
Rh 4.2831 0.0000 1.3642
Rh 0.0000 0.0000 2.7283
```

Space group: I-42d, No. 122
Formation energy (eV per atom): 0.028

***

12.
Density functional theory data (PBE) for crystalline Hf2SiC at its relaxed geometry.

The structure in extended XYZ format:
```
8
Lattice="1.7636 -9.6683 0.0000 1.7636 9.6683 0.0000 0.0000 0.0000 3.5408" Properties=species:S:1:pos:R:3 pbc="T T T"
Hf 1.7636 8.1221 2.6556
Hf 1.7636 3.7461 2.6556
Hf 1.7636 -3.7461 0.8852
Hf 1.7636 -8.1221 0.8852
Si 1.7636 0.8195 2.6556
Si 1.7636 -0.8195 0.8852
C 1.7636 5.9350 2.6556
C 1.7636 -5.9350 0.8852
```

Space group: Cmcm, No. 63
Formation energy without anion corrections (meV/atom): -741

***

13.
Density functional theory data (PBE) for crystalline Ti5ZnIn4 at its relaxed geometry.

The structure in extended XYZ format:
```
10
Lattice="2.9736 0.0000 0.0000 0.0000 2.9736 0.0000 0.0000 0.0000 20.8992" Properties=species:S:1:pos:R:3 pbc="T T T"
Ti 0.0000 0.0000 0.0000
Ti 0.0000 0.0000 4.3027
Ti 0.0000 0.0000 8.6467
Ti 0.0000 0.0000 12.2526
Ti 0.0000 0.0000 16.5965
Zn 1.4868 1.4868 10.4496
In 1.4868 1.4868 2.1538
In 1.4868 1.4868 6.4605
In 1.4868 1.4868 14.4387
In 1.4868 1.4868 18.7454
```

Space group: P4/mmm, No. 123
Formation energy (eV per atom): -0.148

***

14.
Density functional theory data (PBE) for crystalline PuAg3Hg at its relaxed geometry.

The structure in extended XYZ format:
```
10
Lattice="5.0050 0.0000 0.0000 0.0000 3.0340 0.0000 0.0000 0.0000 13.8532" Properties=species:S:1:pos:R:3 pbc="T T T"
Pu 1.2513 0.0000 2.1527
Pu 3.7538 0.0000 11.7005
Ag 1.2513 0.0000 7.7341
Ag 1.2513 1.5170 10.2797
Ag 1.2513 1.5170 13.1299
Ag 3.7538 0.0000 6.1191
Ag 3.7538 1.5170 0.7233
Ag 3.7538 1.5170 3.5735
Hg 1.2513 1.5170 5.1138
Hg 3.7538 1.5170 8.7393
```

Space group: Pmma, No. 51
Energy relative to the lowest polymorph listed for this composition (meV per atom): 0
Formation energy (eV per atom): -0.006

***

15.
Density functional theory data (PBE) for crystalline CaNd3Pb2 at its relaxed geometry.

The structure in extended XYZ format:
```
12
Lattice="9.3519 -2.3721 0.0000 9.3519 2.3721 0.0000 -4.1570 0.0000 9.0575" Properties=species:S:1:pos:R:3 pbc="T T T"
Ca 1.5720 0.0000 1.0729
Ca 12.9748 0.0000 7.9847
Nd -1.8686 0.0000 6.1782
Nd 5.2348 0.0000 1.0192
Nd 4.4352 0.0000 4.6827
Nd 10.1117 0.0000 4.3749
Nd 9.3121 0.0000 8.0383
Nd 16.4155 0.0000 2.8794
Pb 1.6236 0.0000 6.4892
Pb 8.6094 0.0000 1.4007
Pb 5.9375 0.0000 7.6569
Pb 12.9232 0.0000 2.5683
```

Space group: C2/m, No. 12
Formation energy (eV per atom): -0.346

***

16.
Density functional theory data (PBE) for crystalline BaZrCu at its relaxed geometry.

The structure in extended XYZ format:
```
3
Lattice="0.0000 3.4651 3.4651 3.4651 0.0000 3.4651 3.4651 3.4651 0.0000" Properties=species:S:1:pos:R:3 pbc="T T T"
Ba 0.0000 0.0000 0.0000
Zr 5.1977 5.1977 5.1977
Cu 1.7326 1.7326 1.7326
```

Space group: F-43m, No. 216
Energy relative to the lowest polymorph listed for this composition (meV per atom): 1097
Formation energy (eV per atom): 1.365

***

17.
Density functional theory data (PBE) for crystalline TbUOs4 at its relaxed geometry.

The structure in extended XYZ format:
```
6
Lattice="0.0000 3.7822 3.7822 3.7822 0.0000 3.7822 3.7822 3.7822 0.0000" Properties=species:S:1:pos:R:3 pbc="T T T"
Tb 0.0000 0.0000 0.0000
U 5.6733 5.6733 5.6733
Os 2.8363 2.8363 2.8363
Os 4.7281 4.7281 2.8363
Os 4.7281 2.8363 4.7281
Os 2.8363 4.7281 4.7281
```

Space group: F-43m, No. 216
Formation energy (eV per atom): -0.148

***

18.
Density functional theory data (PBE) for crystalline KTaTlBr6 at its relaxed geometry.

The structure in extended XYZ format:
```
18
Lattice="7.9135 0.0000 0.0000 -3.9568 6.8533 0.0000 0.0000 0.0000 12.8177" Properties=species:S:1:pos:R:3 pbc="T T T"
K 0.0000 0.0000 0.0000
K 0.0000 0.0000 6.4089
Ta 0.0000 4.5689 3.2044
Ta 3.9568 2.2844 9.6133
Tl 0.0000 4.5689 9.6133
Tl 3.9568 2.2844 3.2044
Br -1.0531 2.7404 1.7082
Br -2.1101 4.5711 4.7007
Br 1.0531 2.7404 4.7007
Br -1.0570 6.3952 1.7082
Br 2.8998 0.4581 8.1170
Br 1.8467 2.2822 11.1095
Br 2.1101 4.5711 1.7082
Br 1.0570 6.3952 4.7007
Br 5.0137 0.4581 11.1095
Br 2.9036 4.1129 8.1170
Br 6.0669 2.2822 8.1170
Br 5.0099 4.1129 11.1095
```

Space group: P-31c, No. 163
Formation energy without anion corrections (meV/atom): -1036

***

19.
Density functional theory data (PBE) for crystalline VSnRh4 at its relaxed geometry.

The structure in extended XYZ format:
```
6
Lattice="4.1417 -2.2479 0.0000 4.1417 2.2479 0.0000 -0.2916 0.0000 5.0202" Properties=species:S:1:pos:R:3 pbc="T T T"
V 0.0000 0.0000 0.0000
Sn 3.9959 0.0000 2.5101
Rh 1.2825 0.0000 2.0265
Rh 2.4472 0.0000 4.7155
Rh 5.5446 0.0000 0.3047
Rh 6.7093 0.0000 2.9938
```

Space group: C2/m, No. 12
Formation energy (eV per atom): -0.190

***

20.
Density functional theory data (PBE) for crystalline Cs4CaI5 at its relaxed geometry.

The structure in extended XYZ format:
```
10
Lattice="-6.1519 6.1519 3.8987 6.1519 -6.1519 3.8987 6.1519 6.1519 -3.8987" Properties=species:S:1:pos:R:3 pbc="T T T"
Cs 3.7472 1.2089 0.0000
Cs 4.9430 -2.4047 3.8987
Cs 1.2089 8.5566 0.0000
Cs 2.4047 4.9430 3.8987
Ca 0.0000 0.0000 4.2767
I 7.2156 3.1872 -0.0111
I 3.1872 5.0883 -0.0111
I 2.9647 1.0637 3.8876
I -1.0637 2.9647 3.8876
I 0.0000 0.0000 7.3947
```

Space group: I4, No. 79
Formation energy without anion corrections (meV/atom): -1381

***

21.
Density functional theory data (PBE) for crystalline KGa8Au2 at its relaxed geometry.

The structure in extended XYZ format:
```
11
Lattice="5.4009 0.0000 0.0000 0.0000 5.4009 0.0000 0.0000 0.0000 10.2213" Properties=species:S:1:pos:R:3 pbc="T T T"
K 0.0000 0.0000 0.0000
Ga 1.3533 1.3533 3.0717
Ga 1.3533 1.3533 7.1496
Ga 1.3533 4.0476 3.0717
Ga 1.3533 4.0476 7.1496
Ga 4.0476 1.3533 3.0717
Ga 4.0476 1.3533 7.1496
Ga 4.0476 4.0476 3.0717
Ga 4.0476 4.0476 7.1496
Au 0.0000 2.7005 5.1107
Au 2.7005 0.0000 5.1107
```

Space group: P4/mmm, No. 123
Formation energy (eV per atom): 0.021

***

22.
Density functional theory data (PBE) for crystalline Y2AgPb2 at its relaxed geometry.

The structure in extended XYZ format:
```
10
Lattice="7.6958 0.0000 0.0000 0.0000 7.6958 0.0000 0.0000 0.0000 4.5986" Properties=species:S:1:pos:R:3 pbc="T T T"
Y 1.3039 2.5440 0.0000
Y 2.5440 6.3919 0.0000
Y 5.1518 1.3039 0.0000
Y 6.3919 5.1518 0.0000
Ag 0.0000 0.0000 2.2993
Ag 3.8479 3.8479 2.2993
Pb 1.0778 4.9257 2.2993
Pb 2.7701 1.0778 2.2993
Pb 4.9257 6.6180 2.2993
Pb 6.6180 2.7701 2.2993
```

Space group: P4/mbm, No. 127
Energy relative to the lowest polymorph listed for this composition (meV per atom): 0
Formation energy (eV per atom): -0.371

***

23.
Density functional theory data (PBE) for crystalline Pm2Ho3Te8 at its relaxed geometry.

The structure in extended XYZ format:
```
13
Lattice="7.7273 -4.3703 0.0000 7.7273 4.3703 0.0000 -2.4021 0.0000 7.1498" Properties=species:S:1:pos:R:3 pbc="T T T"
Pm 3.4343 0.0000 1.2104
Pm 9.6182 0.0000 5.9394
Ho 6.5263 2.2475 3.5749
Ho 7.7273 0.0000 0.0000
Ho 6.5263 -2.2475 3.5749
Te 0.8393 0.0000 2.9296
Te 5.6811 2.1634 0.6367
Te 7.3714 2.1634 6.5131
Te 4.4899 0.0000 4.1997
Te 8.5627 0.0000 2.9501
Te 5.6811 -2.1634 0.6367
Te 7.3714 -2.1634 6.5131
Te 12.2133 0.0000 4.2202
```

Space group: C2/m, No. 12
Formation energy without anion corrections (meV/atom): -1276

***

24.
Density functional theory data (PBE) for crystalline InAg2SnAs at its relaxed geometry.

The structure in extended XYZ format:
```
5
Lattice="5.2007 0.0000 0.0000 0.0000 5.2007 0.0000 0.0000 0.0000 5.7255" Properties=species:S:1:pos:R:3 pbc="T T T"
In 0.0000 0.0000 0.0000
Ag 0.0000 2.6004 2.8627
Ag 2.6004 0.0000 2.8627
Sn 0.0000 0.0000 2.8627
As 2.6004 2.6004 0.0000
```

Space group: P4/mmm, No. 123
Formation energy (eV per atom): 0.757